CdRu2Au: relaxed, PBE-GGA.

The space group is P4/mmm (No. 123) and the conventional cell measures 3.249, 3.249 and 6.254 Å, with angles of 90.00, 90.00 and 90.00 degrees. The distinct sites, in fractional coordinates, are Cd at (0.000, 0.000, 0.000), Ru at (0.500, 0.500, 0.267) and Au at (0.000, 0.000, 0.500).

The calculation puts the total energy at -5.12 eV/atom. Its crystal system is tetragonal. The mass density is 12.866 g/cm³.

---

CdRu2Au: relaxed, PBE-GGA.

The space group is Pmmm (No. 47) and the conventional cell measures 2.851, 4.763 and 4.895 Å, with angles of 90.00, 90.00 and 90.00 degrees. The distinct sites, in fractional coordinates, are Cd at (0.000, 0.000, 0.000), Ru at (0.000, 0.500, 0.500), Ru at (0.500, 0.000, 0.500) and Au at (0.500, 0.500, 0.000).

The calculation puts the total energy at -5.22 eV/atom. Its crystal system is orthorhombic. The mass density is 12.781 g/cm³.

---

CdRu2Au: relaxed, PBE-GGA.

The space group is F-43m (No. 216) and the conventional cell measures 6.413, 6.413 and 6.413 Å, with angles of 90.00, 90.00 and 90.00 degrees. The distinct sites, in fractional coordinates, are Cd at (0.000, 0.000, 0.000), Ru at (0.000, 0.000, 0.500), Ru at (0.250, 0.250, 0.250) and Au at (0.250, 0.250, 0.750).

The calculation puts the total energy at -5.19 eV/atom. Its crystal system is cubic. The mass density is 12.881 g/cm³.

---

CdRu2Au: relaxed, PBE-GGA.

The space group is Imm2 (No. 44) and the conventional cell measures 2.888, 4.808 and 9.632 Å, with angles of 90.00, 90.00 and 90.00 degrees. The distinct sites, in fractional coordinates, are Cd at (0.000, 0.000, 0.000), Ru at (0.000, 0.000, 0.475), Ru at (0.000, 0.500, 0.761) and Au at (0.000, 0.500, 0.233).

The calculation puts the total energy at -5.28 eV/atom. Its crystal system is orthorhombic. The mass density is 12.703 g/cm³.

---

CdRu2Au: relaxed, PBE-GGA.

The space group is I-4m2 (No. 119) and the conventional cell measures 4.042, 4.042 and 7.921 Å, with angles of 90.00, 90.00 and 90.00 degrees. The distinct sites, in fractional coordinates, are Cd at (0.000, 0.000, 0.000), Ru at (0.000, 0.000, 0.500), Ru at (0.000, 0.500, 0.750) and Au at (0.000, 0.500, 0.250).

The calculation puts the total energy at -5.30 eV/atom. Its crystal system is tetragonal. The mass density is 13.125 g/cm³.

---

CdRu2Au: relaxed, PBE-GGA.

The space group is Cm (No. 8) and the conventional cell measures 9.194, 2.869 and 5.033 Å, with angles of 90.00, 99.50 and 90.00 degrees. The distinct sites, in fractional coordinates, are Cd at (0.000, 0.000, 0.000), Ru at (0.007, 0.500, 0.524), Ru at (0.244, 0.000, 0.697) and Au at (0.255, 0.500, 0.229).

The calculation puts the total energy at -5.38 eV/atom. Its crystal system is monoclinic. The mass density is 12.974 g/cm³.